A geometry-optimized PmDy2Ag3Se6 structure. Source: Alexandria via LeMat-Bulk, functional PBE-GGA.

Geometry as POSCAR:
```
PmDy2Ag3Se6
1.0
8.1170 -2.1189 0.0000
8.1170 2.1189 0.0000
-2.6457 0.0000 9.5216
Pm Dy Ag Se
1 2 3 6
Cartesian
0.0000 0.0000 0.0000 Pm
3.7156 0.0000 6.3053 Dy
9.8726 0.0000 3.2162 Dy
-1.3229 0.0000 4.7608 Ag
5.1938 0.0000 0.4014 Ag
8.3945 0.0000 9.1202 Ag
1.1718 0.0000 5.0274 Se
2.6672 0.0000 1.3957 Se
7.3591 0.0000 1.9333 Se
6.2291 0.0000 7.5883 Se
10.9211 0.0000 8.1259 Se
12.4164 0.0000 4.4942 Se
```

Properties
Total moment, μB per formula unit: 0.0
Formation energy (no corrections), eV per atom: -1.182